Entry 1:
Density functional theory data (PBE) for a relaxed BiTe3Os crystal.

```
5
Lattice="5.251 0.000 0.000 0.000 5.251 0.000 0.000 0.000 5.251" Properties=species:S:1:pos:R:3 pbc="T T T"
Os 0.000 0.000 0.000
Te 0.000 0.000 2.626
Te 2.626 0.000 0.000
Te 0.000 2.626 0.000
Bi 2.626 2.626 2.626
```

Output
**Crystal system**: cubic
**Space group**: No. 221
**E above lowest polymorph**: 0 meV per atom
**E_form (uncorrected)**: 0.59 eV/atom

Entry 2:
Density functional theory data (PBE) for a relaxed AcTm2Cd crystal.

```
4
Lattice="-0.311 -0.862 -3.572 -3.123 -1.493 -1.271 -5.075 9.193 -3.681" Properties=species:S:1:pos:R:3 pbc="T T T"
Tm -4.221 7.026 -3.232
Ac -4.251 3.411 -4.261
Tm -1.998 1.381 -2.063
Cd -2.293 -1.562 -3.231
```

Output
**Crystal system**: trigonal
**Space group**: No. 160
**E above lowest polymorph**: 105 meV per atom
**ΔH_f (0 K)**: 0.0038 eV/atom

Entry 3:
Density functional theory data (PBE) for a relaxed CaAs2Pb crystal.

```
4
Lattice="-0.333 -1.367 4.631 3.864 -1.831 2.267 2.682 4.150 3.948" Properties=species:S:1:pos:R:3 pbc="T T T"
Pb 3.150 0.625 5.470
As 2.271 2.726 3.498
Ca 4.991 1.862 8.497
As 1.590 0.364 2.751
```

Output
**Crystal system**: trigonal
**Space group**: No. 160
**ΔH_f (0 K)**: -0.4117 eV/atom

Entry 4:
Density functional theory data (PBE) for a relaxed InAsBr crystal.

```
3
Lattice="3.762 0.000 0.000 -1.881 3.258 0.000 0.000 0.000 7.348" Properties=species:S:1:pos:R:3 pbc="T T T"
As 0.000 0.000 6.668
Br 1.881 1.086 3.052
In 0.000 2.172 4.976
```

Output
**Crystal system**: trigonal
**Space group**: No. 156
**E above lowest polymorph**: 196 meV per atom
**E_form (uncorrected)**: -0.12 eV/atom

Entry 5:
Density functional theory data (PBE) for a relaxed Gd3Te12Au5 crystal.

```
80
Lattice="14.919 0.000 0.000 -4.973 14.066 0.000 -4.973 -7.033 12.181" Properties=species:S:1:pos:R:3 pbc="T T T"
Au -1.243 11.428 1.523
Te -1.417 -3.861 8.686
Gd 8.703 9.670 1.523
Te 10.119 -3.200 7.687
Te 3.556 5.937 5.091
Gd 6.216 0.879 4.568
Te -6.042 3.861 8.686
Te 0.682 8.748 8.162
Te -0.561 8.848 0.999
Au 1.243 4.395 10.658
Au -3.730 7.912 4.568
Au 1.243 -3.516 9.136
Te -1.417 4.957 10.585
Au 6.216 -4.395 10.658
Gd -3.730 2.637 10.658
Te -0.682 0.893 2.596
Te 2.660 -2.292 7.163
Te -4.800 5.492 11.657
Te 3.047 5.218 0.999
Au -2.486 7.033 0.000
Gd -6.216 7.033 9.136
Gd -1.243 6.154 7.613
Te 4.800 2.292 7.163
Au 3.730 10.549 3.045
Te -3.903 11.990 1.597
Te -0.561 5.260 1.072
Te 7.632 3.833 4.494
Au 3.730 2.637 1.523
Te 9.264 0.822 5.566
Te 0.173 4.741 5.018
Te -2.660 3.200 7.687
Au -4.973 3.516 6.091
Gd 3.730 0.000 9.136
Au 8.703 -0.879 7.613
Te 8.876 -4.957 10.585
Te 6.042 -1.096 7.090
Te -4.291 6.211 6.615
Te 5.655 6.139 9.585
Te -1.805 -0.822 5.566
Te 3.168 1.715 4.019
Te -5.534 -0.042 10.110
Te 11.015 3.171 3.495
Te 1.805 5.318 8.162
Au 6.216 3.516 9.136
Au -1.243 0.879 7.613
Te -1.926 0.042 10.110
Te 5.534 1.773 11.109
Te 2.313 9.325 5.018
Te 3.047 8.806 1.072
Te -2.660 -5.492 11.657
Au 2.486 3.516 6.091
Au -2.486 -3.516 6.091
Au 4.973 -3.516 6.091
Gd 8.703 4.395 1.523
Te 1.926 -1.773 11.109
Te 1.417 1.096 7.090
Gd 1.243 -0.879 4.568
Te -1.069 8.129 5.091
Te 9.773 1.541 0.524
Te 1.926 1.815 11.182
Au 0.000 0.000 0.000
Au 4.973 7.033 0.000
Te -3.168 7.926 9.585
Te -5.146 10.233 4.494
Gd 11.189 0.000 3.045
Te 8.141 -0.893 2.596
Au 6.216 6.154 4.568
Te 6.778 7.854 6.615
Te 4.291 -1.715 4.019
Au -1.243 3.516 3.045
Te 10.507 7.075 2.072
Te 6.899 6.991 2.072
Gd 1.243 7.033 3.045
Te 6.390 2.076 1.597
Gd -3.730 -2.637 10.658
Te 6.390 10.894 3.495
Gd 3.730 7.912 7.613
Te 7.633 12.525 0.524
Te 5.534 -1.815 11.182
Au 7.459 0.000 0.000
```

Output
**Crystal system**: cubic
**Space group**: No. 230
**E_form (uncorrected)**: -0.45 eV/atom

Entry 6:
Density functional theory data (PBE) for a relaxed Tb4GaHgAu2 crystal.

```
8
Lattice="-4.608 -0.824 -2.161 -0.365 -0.746 -5.089 -0.713 -8.819 -1.269" Properties=species:S:1:pos:R:3 pbc="T T T"
Tb -3.191 -2.140 -4.682
Tb -1.074 -5.650 -1.707
Hg 0.000 0.000 0.000
Ga -2.843 -5.194 -4.259
Au -4.263 -7.803 -6.387
Tb -4.612 -4.738 -6.812
Au -1.423 -2.585 -2.131
Tb -2.495 -8.248 -3.837
```

Output
**Crystal system**: trigonal
**Space group**: No. 166
**ΔH_f (0 K)**: -0.6703 eV/atom